BaCoPtO3: optimized geometry, PBE with a Hubbard U.

Cell: 6.232 6.232 6.232 Å, 147.39 139.35 53.05°
Site moments in Bohr magnetons follow the coordinates.
Fractional coordinates of all 6 atoms:
Ba (0.502, 0.502, 0.000)  0.00
O (0.287, 0.787, 0.500)  0.10
O (0.690, 0.190, 0.500)  0.23
O (0.013, 0.013, 0.000)  0.08
Pt (0.819, 0.819, 0.000)  0.38
Co (0.189, 0.189, 0.000)  2.62

Properties
Final energy, eV/atom: -5.67